[1]
Below is a relaxed structure of YCuSe2N, with properties calculated at the PBE level.

Calculated values
Distance to the lowest polymorph of the same formula: 0 meV per atom
Formation energy without anion corrections: -0.132 eV/atom
Space-group type: P4/mmm (123)

abc: 4.9885 4.9885 3.7538
angles: 90.00 90.00 90.00
Each line ends with the local moment (μB).
Sites, in units of the cell vectors:
Y1 0.5000 0.5000 0.5000  -0.01
N1 0.0000 0.0000 0.5000  0.90
Se1 0.0000 0.5000 0.0000  0.11
Se2 0.5000 0.0000 0.0000  0.11
Cu1 0.0000 0.0000 0.0000  0.20

[2]
Below is a relaxed structure of ZrTlPb3, with properties calculated at the PBE level.

Calculated values
Distance to the lowest polymorph of the same formula: 818 meV per atom
Formation energy: 1.0473 eV/atom
Space-group type: Pm-3m (221)

abc: 5.7303 5.7303 5.7303
angles: 90.00 90.00 90.00
Each line ends with the local moment (μB).
Sites, in units of the cell vectors:
Tl1 0.0000 0.0000 0.0000  0.02
Zr1 0.5000 0.5000 0.5000  1.16
Pb1 0.0000 0.5000 0.0000  0.00
Pb2 0.5000 0.0000 0.0000  -0.01
Pb3 0.0000 0.0000 0.5000  0.01

[3]
Below is a relaxed structure of Be3Co2, with properties calculated at the PBE level.

Calculated values
Distance to the lowest polymorph of the same formula: 23 meV per atom
Formation energy: -0.2231 eV/atom
Space-group type: R-3m (166)

abc: 3.6121 3.6121 4.3747
angles: 65.62 65.62 60.00
Each line ends with the local moment (μB).
Sites, in units of the cell vectors:
Co1 0.6014 0.6014 0.1958  0.70
Co2 0.3986 0.3986 0.8042  0.70
Be1 0.8063 0.8063 0.5811  -0.01
Be2 0.0000 0.0000 0.0000  -0.02
Be3 0.1937 0.1937 0.4189  -0.01

[4]
Below is a relaxed structure of Ta2TiPd, with properties calculated at the PBE level.

Calculated values
Distance to the lowest polymorph of the same formula: 61 meV per atom
Formation energy: -0.1589 eV/atom
Space-group type: P4/mmm (123)

abc: 2.9563 2.9563 7.8832
angles: 90.00 90.00 90.00
Sites, in units of the cell vectors:
Ta1 0.0000 0.0000 0.2500
Ta2 0.0000 0.0000 0.7500
Pd1 0.5000 0.5000 0.0000
Ti1 0.5000 0.5000 0.5000

[5]
Below is a relaxed structure of SrCaPuBr6, with properties calculated at the PBE level.

Calculated values
Formation energy without anion corrections: -1.820 eV/atom
Space-group type: P-31c (163)

abc: 7.5038 7.5038 13.4867
angles: 90.00 90.00 120.00
Each line ends with the local moment (μB).
Sites, in units of the cell vectors:
Sr1 0.0000 0.0000 0.5000  -0.01
Sr2 0.0000 0.0000 0.0000  -0.01
Br1 0.6606 0.6512 0.6274  0.01
Br2 0.0094 0.6606 0.3726  0.01
Br3 0.9906 0.6512 0.8726  0.01
Br4 0.6606 0.0094 0.8726  0.01
Br5 0.3394 0.9906 0.1274  0.01
Br6 0.6512 0.6606 0.1274  0.01
Br7 0.3394 0.3488 0.3726  0.01
Br8 0.3488 0.0094 0.6274  0.01
Br9 0.9906 0.3394 0.6274  0.01
Br10 0.3488 0.3394 0.8726  0.01
Br11 0.0094 0.3488 0.1274  0.01
Br12 0.6512 0.9906 0.3726  0.01
Pu1 0.3333 0.6667 0.7500  -5.78
Pu2 0.6667 0.3333 0.2500  -5.78
Ca1 0.6667 0.3333 0.7500  -0.03
Ca2 0.3333 0.6667 0.2500  -0.03

[6]
Below is a relaxed structure of CaTb3Ho6, with properties calculated at the PBE level.

Calculated values
Formation energy: 0.2563 eV/atom
Space-group type: C2/m (12)

abc: 6.5886 9.5592 9.5595
angles: 139.54 110.16 90.00
Sites, in units of the cell vectors:
Ho1 0.4339 0.5657 0.3755
Ho2 0.0583 0.4343 0.6245
Ho3 0.8588 0.1410 0.7175
Ho4 0.9417 0.5657 0.3755
Ho5 0.1412 0.8590 0.2825
Ho6 0.5661 0.4343 0.6245
Tb1 0.0000 0.0000 0.0000
Tb2 0.4326 0.0566 0.8651
Tb3 0.5674 0.9434 0.1349
Ca1 0.5000 0.5000 0.0000

[7]
Below is a relaxed structure of MgTl2AsI, with properties calculated at the PBE level.

Calculated values
Formation energy without anion corrections: -0.125 eV/atom
Space-group type: P4/mmm (123)

abc: 6.2451 4.8386 6.2451
angles: 90.00 90.00 90.00
Sites, in units of the cell vectors:
I1 0.5000 0.5000 0.5000
Tl1 0.5000 0.0000 0.0000
Tl2 0.0000 0.0000 0.5000
As1 0.0000 0.0000 0.0000
Mg1 0.0000 0.5000 0.0000